Entry 1:
Density functional theory data (SCAN) for a crystal of Co3Si2 relaxed with PBEsol.

uncorrected formation energy: -0.351 eV per atom
space group: P-3m1 (164)
total moment: 0.000 Bohr magnetons per cell
V: 11.222 A^3/atom

Cell: 3.7293 3.7293 4.6587 Å, 90.00 90.00 120.00°
With the nearest neighbours (Å) after each atom.
Fractional coordinates of all 5 atoms:
Si: 0.3333 0.6667 0.8130  8 Co 2.25-2.41
Si: 0.6667 0.3333 0.1870  8 Co 2.25-2.41
Co: 0.0000 0.0000 0.0000  6 Si 2.32
Co: 0.3333 0.6667 0.3300  5 Si 2.25-2.41
Co: 0.6667 0.3333 0.6700  5 Si 2.25-2.41

=====

Entry 2:
Density functional theory data (SCAN) for a crystal of CoSi7 relaxed with PBEsol.

uncorrected formation energy: 0.542 eV per atom
space group: Fm-3m (225)
total moment: 0.000 Bohr magnetons per cell
V: 12.863 A^3/atom

Cell: 5.2600 5.2600 5.2600 Å, 60.00 60.00 60.00°
With the nearest neighbours (Å) after each atom.
Fractional coordinates of all 8 atoms:
Co: 0.0000 0.0000 0.0000  12 Si 2.63
Si: 0.0000 0.0000 0.5000  10 Si 2.63, 2 Co 2.63
Si: 0.0000 0.5000 0.0000  10 Si 2.63, 2 Co 2.63
Si: 0.5000 0.0000 0.0000  2 Co 2.63, 10 Si 2.63
Si: 0.5000 0.5000 0.0000  10 Si 2.63, 2 Co 2.63
Si: 0.5000 0.0000 0.5000  10 Si 2.63, 2 Co 2.63
Si: 0.0000 0.5000 0.5000  10 Si 2.63, 2 Co 2.63
Si: 0.5000 0.5000 0.5000  12 Si 2.63

=====

Entry 3:
Density functional theory data (SCAN) for a crystal of Co3Si relaxed with PBEsol.

uncorrected formation energy: -0.002 eV per atom
space group: R-3m (166)
total moment: 4.394 Bohr magnetons per cell
V: 10.541 A^3/atom

Cell: 2.5358 2.5358 7.7121 Å, 80.54 80.54 60.00°
With the nearest neighbours (Å) after each atom.
Fractional coordinates of all 4 atoms:
Co: 0.7472 0.7472 0.7583  3 Si 2.34, 9 Co 2.44-2.54
Co: 0.5000 0.5000 0.5000  12 Co 2.44-2.54
Co: 0.2528 0.2528 0.2417  3 Si 2.34, 9 Co 2.44-2.54
Si: 0.0000 0.0000 0.0000  6 Co 2.34, 6 Si 2.54

=====

Entry 4:
Density functional theory data (SCAN) for a crystal of CoSi2 relaxed with PBEsol.

uncorrected formation energy: -0.401 eV per atom
space group: Fm-3m (225)
total moment: 0.000 Bohr magnetons per cell
V: 12.490 A^3/atom

Cell: 3.7561 3.7561 3.7561 Å, 60.00 60.00 60.00°
With the nearest neighbours (Å) after each atom.
Fractional coordinates of all 3 atoms:
Si: 0.2500 0.2500 0.2500  4 Co 2.30
Si: 0.7500 0.7500 0.7500  4 Co 2.30
Co: 0.0000 0.0000 0.0000  8 Si 2.30

=====

Entry 5:
Density functional theory data (SCAN) for a crystal of Co5Si relaxed with PBEsol.

uncorrected formation energy: -0.052 eV per atom
space group: Cm (8)
total moment: 7.374 Bohr magnetons per cell
V: 10.290 A^3/atom

Cell: 2.5115 4.6415 5.7060 Å, 104.79 90.00 105.70°
With the nearest neighbours (Å) after each atom.
Fractional coordinates of all 6 atoms:
Si: 0.7202 0.4404 0.9375  10 Co 2.41-2.46, 2 Si 2.51
Co: 0.0043 0.0087 0.0056  9 Co 2.41-2.51, 3 Si 2.42-2.46
Co: 0.6669 0.3337 0.3381  11 Co 2.41-2.51, 1 Si 2.46
Co: 0.3350 0.6701 0.6695  2 Si 2.41, 10 Co 2.42-2.51
Co: 0.3871 0.7742 0.2736  10 Co 2.42-2.51, 2 Si 2.44
Co: 0.0531 0.1063 0.6091  10 Co 2.42-2.51, 2 Si 2.42

=====

Entry 6:
Density functional theory data (SCAN) for a crystal of CoSi relaxed with PBEsol.

uncorrected formation energy: -0.537 eV per atom
space group: P2_13 (198)
total moment: 0.000 Bohr magnetons per cell
V: 10.539 A^3/atom

Cell: 4.3850 4.3850 4.3850 Å, 90.00 90.00 90.00°
With the nearest neighbours (Å) after each atom.
Fractional coordinates of all 8 atoms:
Si: 0.8434 0.8434 0.8434  7 Co 2.30-2.40
Si: 0.6566 0.1567 0.3434  7 Co 2.30-2.40
Si: 0.1567 0.3434 0.6566  7 Co 2.30-2.40
Si: 0.3434 0.6566 0.1567  7 Co 2.30-2.40
Co: 0.1457 0.1457 0.1457  7 Si 2.30-2.40
Co: 0.3543 0.8543 0.6457  7 Si 2.30-2.40
Co: 0.8543 0.6457 0.3543  7 Si 2.30-2.40
Co: 0.6457 0.3543 0.8543  7 Si 2.30-2.40